[1]
DFT (PBE) results for a relaxed structure of Pr2ThScBi4.

The structure belongs to space group P2/m (No. 10); the cell edges are 7.8441, 4.5595 and 7.9014 Å and the angles 90.00°, 109.52° and 90.00°. The distinct sites, in fractional coordinates, are Pr at (0.0000, 0.0000, 0.0000), Pr at (0.5000, 0.5000, 0.0000), Th at (0.0000, 0.5000, 0.5000), Sc at (0.5000, 0.0000, 0.5000), Bi at (0.2574, 0.0000, 0.7406) and Bi at (0.2659, 0.5000, 0.2676).

The spin magnetization is 0.00 μB/f.u. The density of states at the Fermi level is 2.0 states/eV per cell. Its calculated formation energy is -779 meV per atom.



[2]
DFT (PBE) results for a relaxed structure of PrTh2ScBi4.

The structure belongs to space group P2/m (No. 10); the cell edges are 7.8210, 4.5522 and 7.8767 Å and the angles 90.00°, 109.72° and 90.00°. The distinct sites, in fractional coordinates, are Pr at (0.0000, 0.0000, 0.0000), Th at (0.5000, 0.0000, 0.5000), Th at (0.5000, 0.5000, 0.0000), Sc at (0.0000, 0.5000, 0.5000), Bi at (0.2355, 0.0000, 0.7350) and Bi at (0.2432, 0.5000, 0.2580).

The spin magnetization is 0.00 μB/f.u. The density of states at the Fermi level is 4.9 states/eV per cell. Its calculated formation energy is -666 meV per atom.



[3]
DFT (PBE) results for a relaxed structure of PrThSc2Bi4.

The structure belongs to space group P2/m (No. 10); the cell edges are 7.6451, 4.4655 and 7.7250 Å and the angles 90.00°, 109.64° and 90.00°. The distinct sites, in fractional coordinates, are Pr at (0.0000, 0.0000, 0.0000), Th at (0.0000, 0.5000, 0.5000), Sc at (0.5000, 0.0000, 0.5000), Sc at (0.5000, 0.5000, 0.0000), Bi at (0.2746, 0.0000, 0.7573) and Bi at (0.2745, 0.5000, 0.2594).

The spin magnetization is 0.00 μB/f.u. The density of states at the Fermi level is 2.1 states/eV per cell. Its calculated formation energy is -714 meV per atom.



[4]
DFT (PBE) results for a relaxed structure of Pr2ThScBi5.

The structure belongs to space group P4/mmm (No. 123); the cell edges are 5.8073, 5.8073 and 11.5525 Å and the angles 90.00°, 90.00° and 90.00°. The distinct sites, in fractional coordinates, are Pr at (0.0000, 0.0000, 0.2081), Th at (0.5000, 0.5000, 0.0000), Sc at (0.5000, 0.5000, 0.5000), Bi at (0.0000, 0.0000, 0.5000), Bi at (0.0000, 0.5000, 0.0000) and Bi at (0.5000, 0.5000, 0.2644).

The spin magnetization is 0.00 μB/f.u. The density of states at the Fermi level is 6.4 states/eV per cell. Its calculated formation energy is 50 meV per atom.



[5]
DFT (PBE) results for a relaxed structure of PrTh2ScBi5.

The structure belongs to space group P4/mmm (No. 123); the cell edges are 5.6105, 5.6105 and 11.4536 Å and the angles 90.00°, 90.00° and 90.00°. The distinct sites, in fractional coordinates, are Pr at (0.0000, 0.0000, 0.0000), Th at (0.5000, 0.5000, 0.1997), Sc at (0.0000, 0.0000, 0.5000), Bi at (0.0000, 0.0000, 0.2633), Bi at (0.0000, 0.5000, 0.0000) and Bi at (0.5000, 0.5000, 0.5000).

The spin magnetization is 0.00 μB/f.u. The density of states at the Fermi level is 6.3 states/eV per cell. Its calculated formation energy is 220 meV per atom.



[6]
DFT (PBE) results for a relaxed structure of PrTmSc2Bi4.

The structure belongs to space group P2/m (No. 10); the cell edges are 7.6245, 4.4117 and 7.6339 Å and the angles 90.00°, 109.53° and 90.00°. The distinct sites, in fractional coordinates, are Pr at (0.0000, 0.0000, 0.0000), Tm at (0.0000, 0.5000, 0.5000), Sc at (0.5000, 0.0000, 0.5000), Sc at (0.5000, 0.5000, 0.0000), Bi at (0.2660, 0.0000, 0.7488) and Bi at (0.2707, 0.5000, 0.2634).

The spin magnetization is 0.00 μB/f.u. The density of states at the Fermi level is 1.5 states/eV per cell. Its calculated formation energy is -750 meV per atom.



> Which value of calculated formation energy does entry 2 give?

-666 meV per atom



> Which of these has the highest calculated formation energy?

PrTh2ScBi5